This record from Alexandria describes a relaxed HfNpCo2O8 crystal. The functional is PBE with a Hubbard U.

- E_tot (Ry/atom) = -0.5963

The structure in CIF format:
```
data_HfNpCo2O8
_chemical_formula_sum 'Hf1 Np1 Co2 O8'
_cell_length_a 5.7754
_cell_length_b 5.7754
_cell_length_c 5.7754
_cell_angle_alpha 110.15
_cell_angle_beta 110.15
_cell_angle_gamma 108.12
_symmetry_space_group_name_H-M 'P 1'
_symmetry_Int_Tables_number 1
loop_
_symmetry_equiv_pos_as_xyz
'x,y,z'
loop_
_atom_site_label
_atom_site_type_symbol
_atom_site_fract_x
_atom_site_fract_y
_atom_site_fract_z
_atom_site_occupancy
Hf1 Hf 0.0000 0.0000 0.0000 1
Np1 Np 0.2500 0.7500 0.5000 1
Co1 Co 0.5000 0.5000 0.0000 1
Co2 Co 0.7500 0.2500 0.5000 1
O1 O 0.2883 0.0930 0.8046 1
O2 O 0.2883 0.4837 0.1954 1
O3 O 0.3641 0.0555 0.3086 1
O4 O 0.5163 0.7117 0.8046 1
O5 O 0.7468 0.0555 0.6914 1
O6 O 0.9070 0.7117 0.1954 1
O7 O 0.9445 0.2532 0.3086 1
O8 O 0.9445 0.6359 0.6914 1
```